i:
ScBePt2 (PBE, relaxed); total moment = 0.00 μB per cell; V = 62.9 Å³ per cell; space group = No. 99
1.0
3.299 0.000 0.000
0.000 3.299 0.000
0.000 0.000 5.777
Sc Be Pt
1 1 2
Direct
0.000 0.000 0.000
0.500 0.500 0.342
0.000 0.000 0.448
0.500 0.500 0.771

***

ii:
ScBePt2 (PBE, relaxed); total moment = 0.00 μB per cell; V = 60.3 Å³ per cell; space group = No. 225
1.0
0.000 3.112 3.112
3.112 0.000 3.112
3.112 3.112 0.000
Sc Be Pt
1 1 2
Direct
0.000 0.000 0.000
0.500 0.500 0.500
0.250 0.250 0.250
0.750 0.750 0.750

***

iii:
ScBePt2 (PBE, relaxed); total moment = 0.00 μB per cell; V = 59.7 Å³ per cell; space group = No. 139
1.0
-2.030 2.030 3.620
2.030 -2.030 3.620
2.030 2.030 -3.620
Sc Be Pt
1 1 2
Direct
0.000 0.000 0.000
0.500 0.500 0.000
0.250 0.750 0.500
0.750 0.250 0.500

***

iv:
ScBePt2 (PBE, relaxed); total moment = 0.00 μB per cell; V = 62.2 Å³ per cell; space group = No. 216
1.0
0.000 3.144 3.144
3.144 0.000 3.144
3.144 3.144 0.000
Sc Be Pt
1 1 2
Direct
0.000 0.000 0.000
0.750 0.750 0.750
0.250 0.250 0.250
0.500 0.500 0.500

***

What is the most stable structure shown above? It is iii.